No. 1
Computed, not measured: a relaxed structure of LiLa2Co at the GGA-PBEsol level of DFT.

It has space group F-43m (No. 216), with a = 6.844 Å, b = 6.844 Å, c = 6.844 Å, α = 90.00°, β = 90.00° and γ = 90.00°. The distinct sites, in fractional coordinates, are Li at (0.000, 0.000, 0.000), La at (0.000, 0.000, 0.500), La at (0.250, 0.250, 0.750) and Co at (0.250, 0.250, 0.250).

The energy of formation from the pure elements comes out at 208 meV per atom.

No. 2
Computed, not measured: a relaxed structure of CuIr3 at the GGA-PBEsol level of DFT.

It has space group C2/m (No. 12), with a = 8.810 Å, b = 2.700 Å, c = 4.619 Å, α = 90.00°, β = 99.91° and γ = 90.00°. The distinct sites, in fractional coordinates, are Cu at (0.000, 0.000, 0.000), Ir at (0.000, 0.500, 0.500) and Ir at (0.248, 0.000, 0.752).

The energy of formation from the pure elements comes out at 79 meV per atom.

No. 3
Computed, not measured: a relaxed structure of CdTeMo2 at the GGA-PBEsol level of DFT.

It has space group Cmm2 (No. 35), with a = 3.256 Å, b = 4.907 Å, c = 9.920 Å, α = 90.00°, β = 90.00° and γ = 90.00°. The distinct sites, in fractional coordinates, are Cd at (0.000, 0.000, 0.000), Te at (0.000, 0.500, 0.676), Mo at (0.000, 0.000, 0.434) and Mo at (0.000, 0.500, 0.243).

Its formation energy from raw total energies is 0.398 eV per atom. The value obtained for the energy relative to the lowest polymorph listed for this composition is 0.000 eV per atom.

No. 4
Computed, not measured: a relaxed structure of AgOsBr at the GGA-PBEsol level of DFT.

It has space group Fmm2 (No. 42), with a = 2.854 Å, b = 5.223 Å, c = 14.032 Å, α = 90.00°, β = 90.00° and γ = 90.00°. The distinct sites, in fractional coordinates, are Ag at (0.000, 0.000, 0.000), Os at (0.000, 0.000, 0.335) and Br at (0.000, 0.000, 0.688).

Its formation energy from raw total energies is 0.953 eV per atom. The value obtained for the energy relative to the lowest polymorph listed for this composition is 0.000 eV per atom.

No. 5
Computed, not measured: a relaxed structure of Mg5Au24 at the GGA-PBEsol level of DFT.

It has space group I-43m (No. 217), with a = 10.078 Å, b = 10.078 Å, c = 10.078 Å, α = 90.00°, β = 90.00° and γ = 90.00°. The distinct sites, in fractional coordinates, are Mg at (0.000, 0.000, 0.000), Mg at (0.183, 0.183, 0.183), Au at (0.055, 0.364, 0.636) and Au at (0.094, 0.094, 0.715).

The energy of formation from the pure elements comes out at -183 meV per atom.

No. 6
Computed, not measured: a relaxed structure of RuAu3 at the GGA-PBEsol level of DFT.

It has space group P4/mmm (No. 123), with a = 4.866 Å, b = 4.866 Å, c = 2.739 Å, α = 90.00°, β = 90.00° and γ = 90.00°. The distinct sites, in fractional coordinates, are Ru at (0.000, 0.000, 0.000), Au at (0.000, 0.500, 0.500) and Au at (0.500, 0.500, 0.000).

The energy of formation from the pure elements comes out at 370 meV per atom.

No. 7
Computed, not measured: a relaxed structure of RhSeI2O at the GGA-PBEsol level of DFT.

It has space group P4/mmm (No. 123), with a = 5.452 Å, b = 5.452 Å, c = 4.541 Å, α = 90.00°, β = 90.00° and γ = 90.00°. The distinct sites, in fractional coordinates, are Rh at (0.000, 0.000, 0.000), Se at (0.000, 0.000, 0.500), I at (0.000, 0.500, 0.000) and O at (0.500, 0.500, 0.500).

Its formation energy from raw total energies is 0.719 eV per atom.

No. 8
Computed, not measured: a relaxed structure of BaCoTe2 at the GGA-PBEsol level of DFT.

It has space group I-42d (No. 122), with a = 7.900 Å, b = 7.900 Å, c = 7.272 Å, α = 90.00°, β = 90.00° and γ = 90.00°. The distinct sites, in fractional coordinates, are Ba at (0.000, 0.000, 0.000), Co at (0.000, 0.000, 0.500) and Te at (0.146, 0.750, 0.625).

Its formation energy from raw total energies is -0.719 eV per atom.